No. 1
The following is a PBE calculation of a relaxed structure of Pr4YMg5, from Alexandria via LeMat-Bulk.

Cell lengths 3.887, 3.887, 19.508 Å; angles 90.00, 90.00, 90.00 degrees
Space group P4/mmm (No. 123)
Inequivalent atoms, fractional coordinates:
Pr: 0.000 0.000 0.102
Pr: 0.000 0.000 0.304
Y: 0.000 0.000 0.500
Mg: 0.500 0.500 0.000
Mg: 0.500 0.500 0.203
Mg: 0.500 0.500 0.406

Results
The value obtained for the total energy is -3.47 eV per atom. As for the theoretical density: 4362 kg/m³.


No. 2
The following is a PBE calculation of a relaxed structure of BaCaPd2, from Alexandria via LeMat-Bulk.

Cell lengths 5.328, 5.328, 3.668 Å; angles 90.00, 90.00, 90.00 degrees
Space group P4/mmm (No. 123)
Inequivalent atoms, fractional coordinates:
Ba: 0.000 0.000 0.000
Ca: 0.500 0.500 0.000
Pd: 0.000 0.500 0.500

Results
The value obtained for the total energy is -4.07 eV per atom. As for the theoretical density: 6225 kg/m³. Its offset from the most stable computed form is 72.2 meV/atom.


No. 3
The following is a PBE calculation of a relaxed structure of Ta3C, from Alexandria via LeMat-Bulk.

Cell lengths 7.472, 10.374, 3.113 Å; angles 90.00, 90.00, 90.00 degrees
Space group Cmcm (No. 63)
Inequivalent atoms, fractional coordinates:
Ta: 0.000 0.112 0.250
Ta: 0.185 0.371 0.250
C: 0.000 0.265 0.750

Results
The value obtained for the total energy is -11.13 eV per atom. As for the theoretical density: 15271 kg/m³. Its offset from the most stable computed form is 424.4 meV/atom.


No. 4
The following is a PBE calculation of a relaxed structure of CaCuMo2, from Alexandria via LeMat-Bulk.

Cell lengths 11.914, 2.717, 4.806 Å; angles 90.00, 113.59, 90.00 degrees
Space group C2/m (No. 12)
Inequivalent atoms, fractional coordinates:
Ca: 0.000 0.000 0.000
Cu: 0.000 0.500 0.500
Mo: 0.212 0.000 0.712

Results
The value obtained for the total energy is -6.45 eV per atom. As for the theoretical density: 6882 kg/m³. Its offset from the most stable computed form is 149.6 meV/atom.


No. 5
The following is a PBE calculation of a relaxed structure of TbPm3Bi2C, from Alexandria via LeMat-Bulk.

Cell lengths 4.905, 5.002, 16.454 Å; angles 90.00, 90.00, 90.00 degrees
Space group Immm (No. 71)
Inequivalent atoms, fractional coordinates:
Tb: 0.000 0.000 0.000
Pm: 0.000 0.000 0.500
Pm: 0.000 0.500 0.345
Bi: 0.000 0.500 0.142
C: 0.000 0.500 0.500

Results
The value obtained for the total energy is -5.76 eV per atom. As for the theoretical density: 8422 kg/m³.


No. 6
The following is a PBE calculation of a relaxed structure of Mg2SbRh, from Alexandria via LeMat-Bulk.

Cell lengths 5.824, 7.873, 3.275 Å; angles 90.00, 90.00, 90.00 degrees
Space group Cmmm (No. 65)
Inequivalent atoms, fractional coordinates:
Mg: 0.250 0.250 0.000
Sb: 0.000 0.000 0.500
Rh: 0.000 0.500 0.500

Results
As for the raw formation energy: -0.267 eV per atom. The value obtained for the total energy is -3.93 eV per atom. As for the theoretical density: 6044 kg/m³.


No. 7
The following is a PBE calculation of a relaxed structure of SrSmTm4Se8, from Alexandria via LeMat-Bulk.

Cell lengths 8.4464, 8.4464, 20.9691 Å; angles 90.00, 90.00, 120.00 degrees
Space group R3m (No. 160, hexagonal axes)
Inequivalent atoms, fractional coordinates:
Sr: 0.0000 0.0000 0.0000
Sm: 0.0000 0.0000 0.3709
Tm: 0.0000 0.0000 0.7475
Tm: 0.0046 0.5023 0.8736
Se: 0.0000 0.0000 0.1379
Se: 0.0000 0.0000 0.6152
Se: 0.0143 0.5072 0.1280
Se: 0.1827 0.3653 0.9484

Results
As for the raw formation energy: -1.769 eV per atom. The value obtained for the total energy is -5.50 eV per atom. As for the theoretical density: 5942 kg/m³.


No. 8
The following is a PBE calculation of a relaxed structure of CoCu3H, from Alexandria via LeMat-Bulk.

Cell lengths 4.431, 4.431, 4.431 Å; angles 90.00, 90.00, 90.00 degrees
Space group Pm-3m (No. 221)
Inequivalent atoms, fractional coordinates:
Co: 0.000 0.000 0.000
Cu: 0.000 0.000 0.500
H: 0.500 0.500 0.500

Results
The value obtained for the total energy is -3.04 eV per atom. As for the theoretical density: 4783 kg/m³. Its offset from the most stable computed form is 1243.8 meV/atom.


No. 9
The following is a PBE calculation of a relaxed structure of HfZrOF2, from Alexandria via LeMat-Bulk.

Cell lengths 4.747, 4.747, 3.782 Å; angles 90.00, 90.00, 90.00 degrees
Space group P4/mmm (No. 123)
Inequivalent atoms, fractional coordinates:
Hf: 0.000 0.000 0.000
Zr: 0.500 0.500 0.000
O: 0.000 0.000 0.500
F: 0.000 0.500 0.500

Results
As for the raw formation energy: -1.147 eV per atom. The value obtained for the total energy is -6.59 eV per atom. As for the theoretical density: 6306 kg/m³. Its offset from the most stable computed form is 675.9 meV/atom.


No. 10
The following is a PBE calculation of a relaxed structure of NiRh2, from Alexandria via LeMat-Bulk.

Cell lengths 2.662, 2.662, 23.122 Å; angles 90.00, 90.00, 90.00 degrees
Space group I4_1/amd (No. 141, origin choice 2)
Inequivalent atoms, fractional coordinates:
Ni: 0.000 0.250 0.375
Rh: 0.000 0.250 0.798

Results
The value obtained for the total energy is -6.64 eV per atom. As for the theoretical density: 10721 kg/m³. Its offset from the most stable computed form is 144.0 meV/atom.


No. 11
The following is a PBE calculation of a relaxed structure of ErTlRhAu, from Alexandria via LeMat-Bulk.

Cell lengths 6.861, 6.861, 6.861 Å; angles 90.00, 90.00, 90.00 degrees
Space group F-43m (No. 216)
Inequivalent atoms, fractional coordinates:
Er: 0.000 0.000 0.000
Tl: 0.000 0.000 0.500
Rh: 0.250 0.250 0.750
Au: 0.250 0.250 0.250

Results
The value obtained for the total energy is -4.83 eV per atom. As for the theoretical density: 13811 kg/m³.


No. 12
The following is a PBE calculation of a relaxed structure of MnSbIr3, from Alexandria via LeMat-Bulk.

Cell lengths 4.826, 4.826, 4.826 Å; angles 90.00, 90.00, 90.00 degrees
Space group Pm-3m (No. 221)
Inequivalent atoms, fractional coordinates:
Mn: 0.000 0.000 0.000
Sb: 0.500 0.500 0.500
Ir: 0.000 0.500 0.500

Results
As for the raw formation energy: 1.591 eV per atom. The value obtained for the total energy is -6.38 eV per atom. As for the theoretical density: 11131 kg/m³. Its offset from the most stable computed form is 452.6 meV/atom.